Entry from the Alexandria database: an optimized crystal structure of RbAl2GaTc (PBE).

Calculated values
Its density of states at the Fermi level is 0.63 states/eV/atom. The calculated formation energy is -0.03 eV/atom. The calculation puts the electronic total energy at -22.01 eV per formula unit. Its density is 4.2 Mg/m³. The calculated volume is 120.7 Å³/f.u.

Structure (CIF):
```
data_RbAl2GaTc
_chemical_formula_sum 'Rb1 Al2 Ga1 Tc1'
_cell_length_a 4.919
_cell_length_b 4.919
_cell_length_c 4.989
_cell_angle_alpha 90.00
_cell_angle_beta 90.00
_cell_angle_gamma 90.00
_symmetry_space_group_name_H-M 'P 4/m m m'
_symmetry_Int_Tables_number 123
_symmetry_space_group_name_Hall '-P 4 2'
loop_
_atom_site_label
_atom_site_type_symbol
_atom_site_fract_x
_atom_site_fract_y
_atom_site_fract_z
Rb1 Rb 0.000 0.000 0.000
Al1 Al 0.000 0.500 0.500
Ga1 Ga 0.500 0.500 0.000
Tc1 Tc 0.500 0.500 0.500
```


Entry from the Alexandria database: an optimized crystal structure of Rb2AlGaTe4 (PBE).

Calculated values
The uncorrected formation energy comes out at -0.7396 eV per atom. The calculation puts the electronic total energy at -27.19 eV per formula unit. Its density is 3.9 Mg/m³. The calculated volume is 329.3 Å³/f.u.

Structure (CIF):
```
data_Rb2AlGaTe4
_chemical_formula_sum 'Rb16 Al8 Ga8 Te32'
_cell_length_a 6.649
_cell_length_b 15.236
_cell_length_c 26.007
_cell_angle_alpha 90.00
_cell_angle_beta 90.00
_cell_angle_gamma 90.00
_symmetry_space_group_name_H-M 'F d d d'
_symmetry_Int_Tables_number 70
loop_
_symmetry_equiv_pos_as_xyz
'x,y,z'
'-x,-y,-z'
'-x+1/4,-y+1/4,z'
'x+1/4,y+1/4,-z'
'x,-y+1/4,-z+1/4'
'-x,y+1/4,z+1/4'
'-x+1/4,y,-z+1/4'
'x+1/4,-y,z+1/4'
'x,y+1/2,z+1/2'
'-x,-y+1/2,-z+1/2'
'-x+1/4,-y+3/4,z+1/2'
'x+1/4,y+3/4,-z+1/2'
'x,-y+3/4,-z+3/4'
'-x,y+3/4,z+3/4'
'-x+1/4,y+1/2,-z+3/4'
'x+1/4,-y+1/2,z+3/4'
'x+1/2,y,z+1/2'
'-x+1/2,-y,-z+1/2'
'-x+3/4,-y+1/4,z+1/2'
'x+3/4,y+1/4,-z+1/2'
'x+1/2,-y+1/4,-z+3/4'
'-x+1/2,y+1/4,z+3/4'
'-x+3/4,y,-z+3/4'
'x+3/4,-y,z+3/4'
'x+1/2,y+1/2,z'
'-x+1/2,-y+1/2,-z'
'-x+3/4,-y+3/4,z'
'x+3/4,y+3/4,-z'
'x+1/2,-y+3/4,-z+1/4'
'-x+1/2,y+3/4,z+1/4'
'-x+3/4,y+1/2,-z+1/4'
'x+3/4,-y+1/2,z+1/4'
loop_
_atom_site_label
_atom_site_type_symbol
_atom_site_fract_x
_atom_site_fract_y
_atom_site_fract_z
Rb1 Rb 0.125 0.125 0.309
Al1 Al 0.125 0.125 0.125
Ga1 Ga 0.125 0.125 0.625
Te1 Te 0.122 0.278 0.431
```


Entry from the Alexandria database: an optimized crystal structure of RbAlGaTe4 (PBE).

Calculated values
The uncorrected formation energy comes out at -0.5008 eV per atom. Its density of states at the Fermi level is 0.10 states/eV/atom. The calculation puts the electronic total energy at -23.81 eV per formula unit. Its density is 4.3 Mg/m³. The calculated volume is 266.4 Å³/f.u.

Structure (CIF):
```
data_RbAlGaTe4
_chemical_formula_sum 'Rb2 Al2 Ga2 Te8'
_cell_length_a 6.987
_cell_length_b 7.276
_cell_length_c 10.739
_cell_angle_alpha 90.00
_cell_angle_beta 102.64
_cell_angle_gamma 90.00
_symmetry_space_group_name_H-M 'P 1 21/m 1'
_symmetry_Int_Tables_number 11
_symmetry_space_group_name_Hall '-P 2yb'
loop_
_atom_site_label
_atom_site_type_symbol
_atom_site_fract_x
_atom_site_fract_y
_atom_site_fract_z
Rb1 Rb 0.214 0.250 0.054
Al1 Al 0.323 0.250 0.695
Ga1 Ga 0.187 0.750 0.313
Te1 Te 0.074 0.517 0.711
Te2 Te 0.364 0.750 0.117
Te3 Te 0.495 0.250 0.494
```


Entry from the Alexandria database: an optimized crystal structure of Al2GaRe2 (PBE).

Calculated values
Its density of states at the Fermi level is 0.74 states/eV/atom. The calculated formation energy is -0.01 eV/atom. The calculation puts the electronic total energy at -35.44 eV per formula unit. Its density is 10.5 Mg/m³. The calculated volume is 78.1 Å³/f.u.

Structure (CIF):
```
data_Al2GaRe2
_chemical_formula_sum 'Al4 Ga2 Re4'
_cell_length_a 6.664
_cell_length_b 6.664
_cell_length_c 3.517
_cell_angle_alpha 90.00
_cell_angle_beta 90.00
_cell_angle_gamma 90.00
_symmetry_space_group_name_H-M 'P 4/m b m'
_symmetry_Int_Tables_number 127
_symmetry_space_group_name_Hall '-P 4 2ab'
loop_
_atom_site_label
_atom_site_type_symbol
_atom_site_fract_x
_atom_site_fract_y
_atom_site_fract_z
Al1 Al 0.145 0.355 0.000
Ga1 Ga 0.000 0.000 0.500
Re1 Re 0.153 0.653 0.500
```